--- 1 ---
A relaxed Tb3Pm6Er2 crystal. Source: Alexandria, functional GGA-PBE.

Computed properties:
- Mass density: 7.303 g cm⁻³
- Crystal system: tetragonal

a = 4.772 Å, b = 4.772 Å, c = 17.120 Å
α = 98.01°, β = 98.01°, γ = 90.00°
Fractional positions:
Tb  0.000  0.000  0.000
Tb  0.802  0.802  0.604
Pm  0.300  0.300  0.600
Er  0.545  0.545  0.091
Tb  0.198  0.198  0.396
Er  0.455  0.455  0.909
Pm  0.620  0.120  0.240
Pm  0.380  0.880  0.760
Pm  0.880  0.380  0.760
Pm  0.120  0.620  0.240
Pm  0.700  0.700  0.400



--- 2 ---
A relaxed Tb3Pm6Er2 crystal. Source: Alexandria, functional GGA-PBE.

Computed properties:
- Mass density: 7.721 g cm⁻³
- Crystal system: trigonal

a = 3.600 Å, b = 3.600 Å, c = 32.279 Å
α = 86.80°, β = 86.80°, γ = 60.00°
Fractional positions:
Tb  0.273  0.273  0.182
Tb  0.000  0.000  0.000
Pm  0.182  0.182  0.453
Pm  0.818  0.818  0.547
Pm  0.364  0.364  0.909
Tb  0.727  0.727  0.818
Er  0.546  0.546  0.363
Pm  0.636  0.636  0.091
Pm  0.909  0.909  0.274
Pm  0.091  0.091  0.726
Er  0.454  0.454  0.637



Which structure is most stable, and how do the rest compare? From most to least stable: 2, 1.



--- 1 ---
A relaxed Tb3Pm3Er crystal. Source: Alexandria, functional GGA-PBE.

Computed properties:
- Mass density: 7.427 g cm⁻³
- Crystal system: trigonal

a = 6.230 Å, b = 6.230 Å, c = 14.799 Å
α = 77.85°, β = 77.85°, γ = 60.00°
Fractional positions:
Pm  0.537  0.200  0.394
Er  0.667  0.667  0.000
Tb  0.602  0.936  0.194
Pm  0.800  0.131  0.606
Tb  0.398  0.064  0.806
Er  0.333  0.333  0.000
Tb  0.064  0.731  0.806
Tb  0.731  0.398  0.806
Pm  0.463  0.800  0.606
Tb  0.269  0.602  0.194
Pm  0.869  0.537  0.394
Pm  0.200  0.869  0.394
Tb  0.936  0.269  0.194
Pm  0.131  0.463  0.606



--- 2 ---
A relaxed Tb3Pm3Er crystal. Source: Alexandria, functional GGA-PBE.

Computed properties:
- Mass density: 7.741 g cm⁻³
- Crystal system: hexagonal

a = 5.758 Å, b = 9.636 Å, c = 9.636 Å
α = 120.02°, β = 90.00°, γ = 90.00°
Fractional positions:
Tb  0.250  0.095  0.478
Pm  0.750  0.049  0.242
Tb  0.250  0.383  0.905
Pm  0.250  0.241  0.193
Pm  0.250  0.807  0.048
Pm  0.750  0.759  0.807
Tb  0.750  0.478  0.383
Pm  0.750  0.193  0.952
Er  0.250  0.666  0.333
Er  0.750  0.334  0.667
Tb  0.250  0.522  0.617
Tb  0.750  0.905  0.522
Tb  0.750  0.617  0.095
Pm  0.250  0.951  0.758



Which structure is most stable, and how do the rest compare? From most to least stable: 2, 1.